Record 1
3
Lattice="-3.8777 0.7088 0.7178 -2.6194 -3.0319 0.0266 -1.6491 -1.1925 3.4514" Properties=species:S:1:pos:R:3 comment="PBE SiNiOs, optimized geometry" crystal_system=cubic e_form_raw_ev_per_atom=0.153 dft_energy_ev_per_cell=-22.0 pbc="T T T"
Ni -4.0731 -1.7578 2.0980
Si 0.0000 0.0000 0.0000
Os -6.1096 -2.6366 3.1469

=====

Record 2
4
Lattice="4.9317 -0.0025 -0.0011 2.3174 4.3534 0.0011 -3.1743 -2.9257 2.3846" Properties=species:S:1:pos:R:3 comment="PBE SiNiOs2, optimized geometry" crystal_system=orthorhombic e_form_raw_ev_per_atom=-0.067 dft_energy_ev_per_cell=-33.9 pbc="T T T"
Si 3.5651 2.1397 0.0000
Os 2.5461 -0.4634 1.1917
Os 7.2451 4.3484 0.0000
Ni 1.5923 1.9267 1.1929

=====

Record 3
4
Lattice="-2.0004 -0.5549 -1.9134 1.0389 -2.6042 -0.3310 -3.8618 -2.1325 4.6558" Properties=species:S:1:pos:R:3 comment="PBE SiNiOs2, optimized geometry" crystal_system=tetragonal e_form_raw_ev_per_atom=-0.117 dft_energy_ev_per_cell=-34.1 pbc="T T T"
Ni -3.2123 -3.0879 2.1710
Si -2.0367 -1.1247 2.4555
Os -1.5247 -2.1560 0.1364
Os -3.8422 -2.1217 4.6323

=====

Record 4
4
Lattice="4.4507 0.0014 0.0008 3.4504 2.8112 0.0008 1.0473 0.3728 4.0028" Properties=species:S:1:pos:R:3 comment="PBE Si2NiOs, optimized geometry" crystal_system=monoclinic e_form_raw_ev_per_atom=-0.391 dft_energy_ev_per_cell=-29.4 pbc="T T T"
Si 1.0171 0.3621 3.8031
Si 2.2757 0.8101 1.2425
Ni 4.4744 1.5928 1.6897
Os 6.7025 2.3860 3.2741